#w
Crystalline HfNbMoOs at its relaxed geometry. Source: Alexandria, functional PBE.

Values from the calculation:
For the total magnetization, the calculation gives 0.0 μB/f.u. The volume comes out at 68.5 Å³ per cell. The space group is P4mm (99).

Cell lengths 3.236, 3.236, 6.543 Å; angles 90.00, 90.00, 90.00 degrees
Sites, in units of the cell vectors:
Hf  0.000  0.000  0.000
Nb  0.000  0.000  0.499
Mo  0.500  0.500  0.740
Os  0.500  0.500  0.254

---

#x
Crystalline HfNbMoOs at its relaxed geometry. Source: Alexandria, functional PBE.

Values from the calculation:
For the total magnetization, the calculation gives 0.0 μB/f.u. The volume comes out at 272.1 Å³ per cell. The space group is F-43m (216).

Cell lengths 6.480, 6.480, 6.480 Å; angles 90.00, 90.00, 90.00 degrees
Sites, in units of the cell vectors:
Hf  0.000  0.000  0.000
Hf  0.000  0.500  0.500
Hf  0.500  0.000  0.500
Hf  0.500  0.500  0.000
Nb  0.000  0.000  0.500
Nb  0.000  0.500  0.000
Nb  0.500  0.000  0.000
Nb  0.500  0.500  0.500
Mo  0.250  0.250  0.750
Mo  0.250  0.750  0.250
Mo  0.750  0.250  0.250
Mo  0.750  0.750  0.750
Os  0.250  0.250  0.250
Os  0.250  0.750  0.750
Os  0.750  0.250  0.750
Os  0.750  0.750  0.250

---

Quick look at relative energies in kJ/mol of atoms: #w 3.3; #x 0.0.

---

#w
Crystalline HfNi3Mo at its relaxed geometry. Source: Alexandria, functional PBE.

Values from the calculation:
For the total magnetization, the calculation gives 0.0 μB/f.u. The volume comes out at 86.8 Å³ per cell. The space group is Pm-3m (221).

Cell lengths 4.427, 4.427, 4.427 Å; angles 90.00, 90.00, 90.00 degrees
Sites, in units of the cell vectors:
Hf  0.000  0.000  0.000
Ni  0.000  0.500  0.500
Ni  0.500  0.000  0.500
Ni  0.500  0.500  0.000
Mo  0.500  0.500  0.500

---

#x
Crystalline HfNi3Mo at its relaxed geometry. Source: Alexandria, functional PBE.

Values from the calculation:
For the total magnetization, the calculation gives 0.0 μB/f.u. The volume comes out at 86.2 Å³ per cell. The space group is Pm-3m (221).

Cell lengths 4.418, 4.418, 4.418 Å; angles 90.00, 90.00, 90.00 degrees
Sites, in units of the cell vectors:
Hf  0.000  0.000  0.000
Ni  0.000  0.000  0.500
Ni  0.000  0.500  0.000
Ni  0.500  0.000  0.000
Mo  0.500  0.500  0.500

---

Quick look at relative energies in kJ/mol of atoms: #w 0.0; #x 49.4.

---

#w
Crystalline HfNi2Mo2 at its relaxed geometry. Source: Alexandria, functional PBE.

Values from the calculation:
For the total magnetization, the calculation gives 0.0 μB/f.u. The volume comes out at 156.3 Å³ per cell. The space group is I4/mmm (139).

Cell lengths 3.722, 3.722, 11.283 Å; angles 90.00, 90.00, 90.00 degrees
Sites, in units of the cell vectors:
Hf  0.000  0.000  0.000
Hf  0.500  0.500  0.500
Ni  0.000  0.000  0.402
Ni  0.000  0.000  0.598
Ni  0.500  0.500  0.098
Ni  0.500  0.500  0.902
Mo  0.000  0.500  0.250
Mo  0.000  0.500  0.750
Mo  0.500  0.000  0.250
Mo  0.500  0.000  0.750

---

#x
Crystalline HfNi2Mo2 at its relaxed geometry. Source: Alexandria, functional PBE.

Values from the calculation:
For the total magnetization, the calculation gives 0.0 μB/f.u. The volume comes out at 150.2 Å³ per cell. The space group is P4/mbm (127).

Cell lengths 6.613, 6.613, 3.434 Å; angles 90.00, 90.00, 90.00 degrees
Sites, in units of the cell vectors:
Hf  0.000  0.000  0.000
Hf  0.500  0.500  0.000
Ni  0.125  0.375  0.000
Ni  0.375  0.875  0.000
Ni  0.625  0.125  0.000
Ni  0.875  0.625  0.000
Mo  0.168  0.668  0.500
Mo  0.332  0.168  0.500
Mo  0.668  0.832  0.500
Mo  0.832  0.332  0.500

---

Quick look at relative energies in kJ/mol of atoms: #w 0.0; #x 2.6.

---

#w
Crystalline HfNiMo2 at its relaxed geometry. Source: Alexandria, functional PBE.

Values from the calculation:
For the total magnetization, the calculation gives 0.0 μB/f.u. The volume comes out at 273.5 Å³ per cell. The space group is I-42d (122).

Cell lengths 7.428, 7.428, 4.957 Å; angles 90.00, 90.00, 90.00 degrees
Sites, in units of the cell vectors:
Hf  0.000  0.000  0.000
Hf  0.000  0.500  0.250
Hf  0.500  0.000  0.750
Hf  0.500  0.500  0.500
Ni  0.000  0.000  0.500
Ni  0.000  0.500  0.750
Ni  0.500  0.000  0.250
Ni  0.500  0.500  0.000
Mo  0.207  0.750  0.625
Mo  0.250  0.207  0.375
Mo  0.250  0.293  0.875
Mo  0.293  0.750  0.125
Mo  0.707  0.250  0.125
Mo  0.750  0.707  0.875
Mo  0.750  0.793  0.375
Mo  0.793  0.250  0.625

---

#x
Crystalline HfNiMo2 at its relaxed geometry. Source: Alexandria, functional PBE.

Values from the calculation:
For the total magnetization, the calculation gives 0.0 μB/f.u. The volume comes out at 252.7 Å³ per cell. The space group is Fm-3m (225).

Cell lengths 6.322, 6.322, 6.322 Å; angles 90.00, 90.00, 90.00 degrees
Sites, in units of the cell vectors:
Hf  0.000  0.000  0.000
Hf  0.000  0.500  0.500
Hf  0.500  0.000  0.500
Hf  0.500  0.500  0.000
Ni  0.000  0.000  0.500
Ni  0.000  0.500  0.000
Ni  0.500  0.000  0.000
Ni  0.500  0.500  0.500
Mo  0.250  0.250  0.250
Mo  0.250  0.250  0.750
Mo  0.250  0.750  0.250
Mo  0.250  0.750  0.750
Mo  0.750  0.250  0.250
Mo  0.750  0.250  0.750
Mo  0.750  0.750  0.250
Mo  0.750  0.750  0.750

---

Quick look at relative energies in kJ/mol of atoms: #w 12.3; #x 0.0.